[1]
## Sm2GdAgO6 (PBE)

Data for a relaxed Sm2GdAgO6 crystal.

The structure belongs to space group P-1 (No. 2); the cell edges are 3.659, 5.617 and 7.096 Å and the angles 90.19°, 103.10° and 91.08°. Symmetry generates all atoms from Sm at (0.112, 0.030, 0.266), Gd at (0.500, 0.500, 0.000), Ag at (0.500, 0.500, 0.500), O at (0.019, 0.753, 0.024), O at (0.337, 0.193, 0.613) and O at (0.369, 0.702, 0.710).

The raw total energy is -7.293 eV per atom.

***

[2]
## LiZrInSe3 (PBE)

Data for a relaxed LiZrInSe3 crystal.

The structure belongs to space group Cmcm (No. 63); the cell edges are 3.902, 14.214 and 10.517 Å and the angles 90.00°, 90.00° and 90.00°. Symmetry generates all atoms from Li at (0.000, 0.052, 0.250), Zr at (0.000, 0.500, 0.000), In at (0.000, 0.228, 0.750), Se at (0.000, 0.131, 0.040) and Se at (0.000, 0.442, 0.250).

The raw total energy is -4.978 eV per atom.

***

[3]
## DyTePbAuSe2 (PBE)

Data for a relaxed DyTePbAuSe2 crystal.

The structure belongs to space group Cmcm (No. 63); the cell edges are 4.142, 14.253 and 11.143 Å and the angles 90.00°, 90.00° and 90.00°. Symmetry generates all atoms from Dy at (0.000, 0.000, 0.000), Te at (0.000, 0.102, 0.250), Pb at (0.000, 0.211, 0.750), Au at (0.000, 0.468, 0.250) and Se at (0.000, 0.363, 0.054).

The raw total energy is -4.475 eV per atom.

***

[4]
## CsHfAg3Te4 (PBE)

Data for a relaxed CsHfAg3Te4 crystal.

The structure belongs to space group P-43m (No. 215); the cell edges are 7.042, 7.042 and 7.042 Å and the angles 90.00°, 90.00° and 90.00°. Symmetry generates all atoms from Cs at (0.000, 0.000, 0.000), Hf at (0.500, 0.500, 0.500), Ag at (0.000, 0.500, 0.500) and Te at (0.278, 0.278, 0.278).

The energy relative to the lowest polymorph listed for this composition comes out at 0.647 eV per formula unit. The raw total energy is -4.029 eV per atom.

***

[5]
## NaTcIr (PBE)

Data for a relaxed NaTcIr crystal.

The structure belongs to space group F-43m (No. 216); the cell edges are 6.034, 6.034 and 6.034 Å and the angles 90.00°, 90.00° and 90.00°. Symmetry generates all atoms from Na at (0.000, 0.000, 0.000), Tc at (0.250, 0.250, 0.250) and Ir at (0.250, 0.250, 0.750).

The energy relative to the lowest polymorph listed for this composition comes out at 3.239 eV per formula unit. The raw total energy is -4.957 eV per atom.

***

[6]
## CsTmHfSe3 (PBE)

Data for a relaxed CsTmHfSe3 crystal.

The structure belongs to space group C2/m (No. 12); the cell edges are 16.367, 4.235 and 10.833 Å and the angles 90.00°, 90.07° and 90.00°. Symmetry generates all atoms from Cs at (0.242, 0.000, 0.250), Tm at (0.000, 0.500, 0.000), Tm at (0.000, 0.500, 0.500), Hf at (0.031, 0.000, 0.750), Se at (0.061, 0.500, 0.250), Se at (0.116, 0.000, 0.550) and Se at (0.116, 0.000, 0.950).

The energy relative to the lowest polymorph listed for this composition comes out at 0.000 eV per formula unit. The raw total energy is -5.621 eV per atom.

***

[7]
## TmMgCuSe3 (PBE)

Data for a relaxed TmMgCuSe3 crystal.

The structure belongs to space group Pnma (No. 62); the cell edges are 11.217, 3.918 and 11.514 Å and the angles 90.00°, 90.00° and 90.00°. Symmetry generates all atoms from Tm at (0.025, 0.250, 0.192), Mg at (0.187, 0.250, 0.491), Cu at (0.245, 0.750, 0.287), Se at (0.051, 0.750, 0.374), Se at (0.101, 0.250, 0.933) and Se at (0.213, 0.750, 0.663).

The energy relative to the lowest polymorph listed for this composition comes out at 0.419 eV per formula unit. The raw total energy is -4.455 eV per atom.

***

[8]
## LaHfCuPd (PBE)

Data for a relaxed LaHfCuPd crystal.

The structure belongs to space group F-43m (No. 216); the cell edges are 6.747, 6.747 and 6.747 Å and the angles 90.00°, 90.00° and 90.00°. Symmetry generates all atoms from La at (0.000, 0.000, 0.000), Hf at (0.250, 0.250, 0.750), Cu at (0.000, 0.000, 0.500) and Pd at (0.250, 0.250, 0.250).

The energy relative to the lowest polymorph listed for this composition comes out at 0.666 eV per formula unit. The raw total energy is -6.004 eV per atom. The formation energy is -61 meV/atom.

***

[9]
## YTmC2Br2 (PBE)

Data for a relaxed YTmC2Br2 crystal.

The structure belongs to space group Cm (No. 8); the cell edges are 6.997, 3.754 and 10.928 Å and the angles 90.00°, 94.75° and 90.00°. Symmetry generates all atoms from Y at (0.000, 0.000, 0.000), Tm at (0.289, 0.000, 0.263), C at (0.070, 0.500, 0.169), C at (0.220, 0.500, 0.101), Br at (0.320, 0.000, 0.826) and Br at (0.465, 0.500, 0.433).

The raw total energy is -6.525 eV per atom.

***

[10]
## Rb2TaTlSe4 (PBE)

Data for a relaxed Rb2TaTlSe4 crystal.

The structure belongs to space group I-42m (No. 121); the cell edges are 8.379, 8.379 and 7.943 Å and the angles 90.00°, 90.00° and 90.00°. Symmetry generates all atoms from Rb at (0.000, 0.500, 0.000), Ta at (0.000, 0.000, 0.000), Tl at (0.000, 0.000, 0.500) and Se at (0.163, 0.163, 0.816).

The raw total energy is -4.719 eV per atom.

***

[11]
## Zn3Ag (PBE)

Data for a relaxed Zn3Ag crystal.

The structure belongs to space group Fm-3m (No. 225); the cell edges are 6.275, 6.275 and 6.275 Å and the angles 90.00°, 90.00° and 90.00°. Symmetry generates all atoms from Zn at (0.000, 0.000, 0.000), Zn at (0.250, 0.250, 0.250) and Ag at (0.000, 0.000, 0.500).

The raw total energy is -1.641 eV per atom. The formation energy is 13 meV/atom.

***

[12]
## ZrIn (PBE)

Data for a relaxed ZrIn crystal.

The structure belongs to space group Pmmn (No. 59, origin choice 2); the cell edges are 5.240, 6.141 and 11.630 Å and the angles 90.00°, 90.00° and 90.00°. Symmetry generates all atoms from Zr at (0.250, 0.005, 0.079), Zr at (0.250, 0.250, 0.320), Zr at (0.250, 0.250, 0.818), In at (0.250, 0.002, 0.573), In at (0.250, 0.750, 0.322) and In at (0.250, 0.750, 0.839).

The raw total energy is -5.791 eV per atom.

***

Question: What is the raw total energy in the eleventh record?
Answer: -1.641 eV per atom

***

Question: Look up the raw total energy of the second one.
Answer: -4.978 eV per atom

***

Question: Among the records above, which one has the highest raw total energy?
Answer: Zn3Ag

***

Question: What is the formula in the eleventh record?
Answer: Zn3Ag